1.
# LiMgSnSb (GGA-PBE, relaxed)
data_LiMgSnSb
_chemical_formula_sum 'Li4 Mg4 Sn4 Sb4'
_space_group_name_H-M_alt 'F -4 3 m'
_space_group_IT_number 216
_space_group_name_Hall 'F -4 2 3'
_cell_length_a 7.1988
_cell_length_b 7.1988
_cell_length_c 7.1988
_cell_angle_alpha 90.00
_cell_angle_beta 90.00
_cell_angle_gamma 90.00
loop_
_atom_site_label
_atom_site_type_symbol
_atom_site_fract_x
_atom_site_fract_y
_atom_site_fract_z
_atom_site_occupancy
Li1 Li 0.0000 0.0000 0.0000 1
Mg1 Mg 0.0000 0.0000 0.5000 1
Sn1 Sn 0.2500 0.2500 0.7500 1
Sb1 Sb 0.2500 0.2500 0.2500 1
# - Energy: -3.12 eV per atom
# - V: 93 Å³/f.u.

=====

2.
# Sr2Li3MgSb4 (GGA-PBE, relaxed)
data_Sr2Li3MgSb4
_chemical_formula_sum 'Sr2 Li3 Mg1 Sb4'
_space_group_name_H-M_alt 'P -4 m 2'
_space_group_IT_number 115
_space_group_name_Hall 'P -4 -2'
_cell_length_a 4.7043
_cell_length_b 4.7043
_cell_length_c 11.7089
_cell_angle_alpha 90.00
_cell_angle_beta 90.00
_cell_angle_gamma 90.00
loop_
_atom_site_label
_atom_site_type_symbol
_atom_site_fract_x
_atom_site_fract_y
_atom_site_fract_z
_atom_site_occupancy
Sr1 Sr 0.0000 0.5000 0.2362 1
Li1 Li 0.0000 0.5000 0.8713 1
Li2 Li 0.5000 0.5000 0.5000 1
Mg1 Mg 0.0000 0.0000 0.5000 1
Sb1 Sb 0.0000 0.0000 0.0000 1
Sb2 Sb 0.0000 0.5000 0.6438 1
Sb3 Sb 0.5000 0.5000 0.0000 1
# - Energy: -3.48 eV per atom
# - V: 259 Å³/f.u.

=====

Which of these has the lowest energy?
Sr2Li3MgSb4